P:
# Tb6Dy3Y, optimized geometry, DFT PBE
data_Tb6Dy3Y
_chemical_formula_sum 'Tb12 Dy6 Y2'
_cell_length_a 6.3733
_cell_length_b 11.5764
_cell_length_c 11.5764
_cell_angle_alpha 130.90
_cell_angle_beta 90.00
_cell_angle_gamma 90.00
_symmetry_space_group_name_H-M 'P 1'
_symmetry_Int_Tables_number 1
_symmetry_space_group_name_Hall 'P 1'
loop_
_atom_site_label
_atom_site_fract_x
_atom_site_fract_y
_atom_site_fract_z
_atom_site_occupancy
Tb1 0.8145 0.0145 0.9855 1
Tb2 0.2924 0.6980 0.3020 1
Dy1 0.4884 0.2962 0.0419 1
Dy2 0.4884 0.9581 0.7038 1
Y1 0.5133 0.8398 0.1602 1
Dy3 0.9884 0.0419 0.2962 1
Tb3 0.0696 0.3792 0.2583 1
Tb4 0.3145 0.9855 0.0145 1
Dy4 0.5931 0.5797 0.4203 1
Tb5 0.7924 0.3020 0.6980 1
Y2 0.0133 0.1602 0.8398 1
Dy5 0.9884 0.7038 0.9581 1
Tb6 0.8280 0.8943 0.4564 1
Tb7 0.5696 0.6208 0.7417 1
Tb8 0.8280 0.5436 0.1057 1
Tb9 0.5696 0.2583 0.3792 1
Tb10 0.0696 0.7417 0.6208 1
Tb11 0.3280 0.1057 0.5436 1
Tb12 0.3280 0.4564 0.8943 1
Dy6 0.0931 0.4203 0.5797 1
# N(E_F): 32.80 states/eV per cell
# ρ: 7.9 Mg/m³

Q:
# Tb6Dy3Y, optimized geometry, DFT PBE
data_Tb6Dy3Y
_chemical_formula_sum 'Tb12 Dy6 Y2'
_cell_length_a 6.2386
_cell_length_b 10.9607
_cell_length_c 10.9607
_cell_angle_alpha 120.07
_cell_angle_beta 90.00
_cell_angle_gamma 90.00
_symmetry_space_group_name_H-M 'P 1'
_symmetry_Int_Tables_number 1
_symmetry_space_group_name_Hall 'P 1'
loop_
_atom_site_label
_atom_site_fract_x
_atom_site_fract_y
_atom_site_fract_z
_atom_site_occupancy
Tb1 0.0427 0.7125 0.6209 1
Tb2 0.6452 0.2785 0.7215 1
Tb3 0.0427 0.3791 0.2875 1
Dy1 0.9657 0.0586 0.2807 1
Dy2 0.0737 0.3889 0.6111 1
Tb4 0.3601 0.0498 0.4714 1
Tb5 0.3601 0.5286 0.9502 1
Dy3 0.9657 0.7193 0.9414 1
Tb6 0.8601 0.9502 0.5286 1
Dy4 0.5737 0.6111 0.3889 1
Tb7 0.4012 0.9585 0.0415 1
Tb8 0.8601 0.4714 0.0498 1
Tb9 0.5427 0.2875 0.3791 1
Y1 0.6285 0.7999 0.2001 1
Tb10 0.1452 0.7215 0.2785 1
Dy5 0.4657 0.9414 0.7193 1
Dy6 0.4657 0.2807 0.0586 1
Y2 0.1285 0.2001 0.7999 1
Tb11 0.5427 0.6209 0.7125 1
Tb12 0.9012 0.0415 0.9585 1
# N(E_F): 29.29 states/eV per cell
# ρ: 7.8 Mg/m³

Which structure is most stable? P, by 30 meV/atom over the runner-up.